[1]
Material: TaAsHSe2
Method: DFT, PBE-GGA
State: optimized geometry

Energy above the lowest structure with this stoichiometry (meV per atom): 0.0
Fermi-level density of states (states/eV/cell): 2.88
Density (g/cm3): 5.404
Raw total energy (eV for the cell shown): -24.66

a = 5.017 Å, b = 5.017 Å, c = 5.064 Å
α = 90.00°, β = 90.00°, γ = 90.00°
Space group P4/mmm (No. 123)
Inequivalent atoms, fractional coordinates:
Ta 0.000 0.000 0.000 x1
As 0.000 0.000 0.500 x1
H 0.500 0.500 0.500 x1
Se 0.000 0.500 0.000 x2

=====

[2]
Material: PmSm2In
Method: DFT, PBE-GGA
State: optimized geometry

E_form (eV/atom): -0.23
Energy above the lowest structure with this stoichiometry (meV per atom): 45.8
Fermi-level density of states (states/eV/cell): 3.94
Density (g/cm3): 7.434
Raw total energy (eV for the cell shown): -17.83

a = 3.639 Å, b = 3.639 Å, c = 9.456 Å
α = 90.00°, β = 90.00°, γ = 90.00°
Space group P4/mmm (No. 123)
Inequivalent atoms, fractional coordinates:
Pm 0.000 0.000 0.000 x1
Sm 0.500 0.500 0.276 x2
In 0.000 0.000 0.500 x1

=====

[3]
Material: PmBiPd2
Method: DFT, PBE-GGA
State: optimized geometry

E_form (eV/atom): -0.72
Energy above the lowest structure with this stoichiometry (meV per atom): 0.0
Fermi-level density of states (states/eV/cell): 2.31
Density (g/cm3): 10.764
Raw total energy (eV for the cell shown): -43.82

a = 4.953 Å, b = 6.895 Å, c = 5.121 Å
α = 90.00°, β = 90.00°, γ = 90.00°
Space group Pmmn (No. 59, origin choice 2)
Inequivalent atoms, fractional coordinates:
Pm 0.250 0.250 0.211 x2
Bi 0.250 0.750 0.232 x2
Pd 0.250 0.009 0.683 x4

=====

[4]
Material: DyFe3Ge2
Method: DFT, PBE-GGA
State: optimized geometry

E_form (eV/atom): -0.36
Fermi-level density of states (states/eV/cell): 17.91
Density (g/cm3): 8.489
Raw total energy (eV for the cell shown): -165.60

a = 14.850 Å, b = 3.855 Å, c = 7.233 Å
α = 90.00°, β = 116.09°, γ = 90.00°
Space group C2/m (No. 12)
Inequivalent atoms, fractional coordinates:
Dy 0.146 0.000 0.059 x4
Fe 0.042 0.000 0.397 x4
Fe 0.081 0.500 0.639 x4
Fe 0.192 0.500 0.468 x4
Ge 0.024 0.500 0.190 x4
Ge 0.196 0.000 0.701 x4

=====

[5]
Material: BaZnCd3Ag
Method: DFT, PBE-GGA
State: optimized geometry

E_form (eV/atom): -0.09
Fermi-level density of states (states/eV/cell): 12.01
Density (g/cm3): 6.633
Raw total energy (eV for the cell shown): -37.43

a = 7.268 Å, b = 13.712 Å, c = 6.509 Å
α = 90.00°, β = 90.00°, γ = 90.00°
Space group Cmcm (No. 63)
Inequivalent atoms, fractional coordinates:
Ba 0.000 0.223 0.250 x4
Zn 0.000 0.136 0.750 x4
Cd 0.000 0.342 0.750 x4
Cd 0.198 0.000 0.000 x8
Ag 0.000 0.455 0.250 x4